The following is a PBE-GGA calculation of an optimized crystal structure of ScMnRu2, from Alexandria.

Cell: 2.8530 3.9972 5.3964 Å, 90.00 90.00 90.00°
Last column: nearest neighbours and their distance in Å.
Space group Pmm2 (No. 25)
One atom of each set of equivalent atoms:
Sc  0.0000  0.0000  0.0000 (multiplicity 1)  6 Ru 2.67-2.82, 2 Sc 2.85, 4 Mn 2.89
Mn  0.5000  0.5000  0.2809 (multiplicity 1)  5 Ru 2.50-2.74
Ru  0.0000  0.0000  0.5049 (multiplicity 1)  2 Sc 2.67-2.72, 4 Mn 2.74, 6 Ru 2.78-2.85
Ru  0.5000  0.5000  0.7449 (multiplicity 1)  1 Mn 2.50, 4 Ru 2.78

Values from the calculation:
As for the size of the total moment: 3.36 μB per formula unit. The value obtained for the density of states at the Fermi level is 3.24 states/eV/cell. The calculation puts the total energy at -8.5068 eV per atom.